A relaxed HoTmIn2Te4 crystal. Source: Alexandria via LeMat-Bulk, functional PBE.

Formation energy (no corrections) = -7.62 eV/f.u.
Space group = P2/m, No. 10

```
HoTmIn2Te4
1.0
-0.234 -2.691 -3.457
4.253 -5.103 3.684
-8.127 -1.666 1.848
Te Ho In Tm
4 1 2 1
Direct
0.000 0.259 0.783
0.500 0.763 0.784
0.500 0.237 0.216
0.000 0.741 0.217
0.500 0.500 0.000
0.500 0.000 0.500
0.000 0.500 0.500
0.000 0.000 0.000
```


A relaxed Cs2SrICl3 crystal. Source: Alexandria via LeMat-Bulk, functional PBE.

Formation energy (no corrections) = -14.05 eV/f.u.
Space group = Immm, No. 71

```
Cs2SrICl3
1.0
-1.992 4.957 -3.579
-4.108 1.139 3.863
8.614 2.318 4.192
Cl I Cs Sr
3 1 2 1
Direct
0.838 0.838 0.676
0.162 0.162 0.324
0.000 0.500 0.000
0.500 0.000 0.000
0.649 0.649 0.299
0.351 0.351 0.701
0.000 0.000 0.000
```


A relaxed TbDyI3 crystal. Source: Alexandria via LeMat-Bulk, functional PBE.

Formation energy (no corrections) = -5.41 eV/f.u.
Space group = C2/m, No. 12

```
TbDyI3
1.0
-4.362 -6.711 6.167
-0.447 -7.016 7.258
-3.052 2.315 11.604
I Dy Tb
6 2 2
Direct
0.213 0.213 0.878
0.333 0.333 0.503
0.966 0.966 0.743
0.667 0.667 0.497
0.787 0.787 0.122
0.034 0.034 0.257
0.433 0.433 0.962
0.567 0.567 0.038
0.131 0.131 0.725
0.869 0.869 0.275
```